Material: RePd3S4
Method: DFT, GGA-PBE
State: relaxed

It has space group Pmn2_1 (No. 31), with a = 7.1340 Å, b = 6.3305 Å, c = 6.5798 Å, α = 90.00°, β = 90.00° and γ = 90.00°. The inequivalent atoms are Re at (0.0000, 0.1608, 0.0000), Pd at (0.0000, 0.9004, 0.5839), Pd at (0.2020, 0.2970, 0.5864), S at (0.0000, 0.1679, 0.3322), S at (0.0000, 0.8146, 0.9327) and S at (0.2360, 0.6585, 0.4359).

The value obtained for the volume is 297.2 Å³/cell. The formation energy from raw total energies comes out at -0.315 eV per atom. Its final energy is -5.883 eV per atom.

---

Material: RePdS2
Method: DFT, GGA-PBE
State: relaxed

It has space group P2/c (No. 13), with a = 7.2117 Å, b = 3.6046 Å, c = 5.4139 Å, α = 90.00°, β = 95.54° and γ = 90.00°. The inequivalent atoms are Re at (0.0000, 0.1570, 0.2500), Pd at (0.5000, 0.5000, 0.0000) and S at (0.1916, 0.3285, 0.9329).

The value obtained for the volume is 140.1 Å³/cell. The formation energy from raw total energies comes out at -0.174 eV per atom. Its final energy is -6.648 eV per atom.

---

Material: RePd3S
Method: DFT, GGA-PBE
State: relaxed

It has space group Pm-3m (No. 221), with a = 4.4775 Å, b = 4.4775 Å, c = 4.4775 Å, α = 90.00°, β = 90.00° and γ = 90.00°. The inequivalent atoms are Re at (0.0000, 0.0000, 0.0000), Pd at (0.0000, 0.5000, 0.5000) and S at (0.5000, 0.5000, 0.5000).

The value obtained for the volume is 89.8 Å³/cell. The formation energy from raw total energies comes out at 0.749 eV per atom. Its final energy is -5.682 eV per atom.

---

Material: ReSbPd
Method: DFT, GGA-PBE
State: relaxed

It has space group Amm2 (No. 38), with a = 13.1758 Å, b = 3.1026 Å, c = 5.3622 Å, α = 90.00°, β = 90.00° and γ = 90.00°. The inequivalent atoms are Re at (0.1584, 0.0000, 0.0000), Sb at (0.3125, 0.0000, 0.3401), Pd at (0.0000, 0.0000, 0.3350) and Pd at (0.5000, 0.0000, 0.1792).

The value obtained for the volume is 219.2 Å³/cell. The formation energy from raw total energies comes out at 0.422 eV per atom. Its final energy is -6.832 eV per atom.

---

Material: Re2Sb2Pd
Method: DFT, GGA-PBE
State: relaxed

It has space group I4/mmm (No. 139), with a = 3.5971 Å, b = 3.5971 Å, c = 16.0364 Å, α = 90.00°, β = 90.00° and γ = 90.00°. The inequivalent atoms are Re at (0.0000, 0.5000, 0.2500), Sb at (0.0000, 0.0000, 0.1077) and Pd at (0.0000, 0.0000, 0.5000).

The value obtained for the volume is 207.5 Å³/cell. The formation energy from raw total energies comes out at 0.504 eV per atom. Its final energy is -7.163 eV per atom.

---

Material: ReSb2Pd
Method: DFT, GGA-PBE
State: relaxed

It has space group Fm-3m (No. 225), with a = 6.7033 Å, b = 6.7033 Å, c = 6.7033 Å, α = 90.00°, β = 90.00° and γ = 90.00°. The inequivalent atoms are Re at (0.0000, 0.0000, 0.0000), Sb at (0.2500, 0.2500, 0.2500) and Pd at (0.0000, 0.0000, 0.5000).

The value obtained for the volume is 301.2 Å³/cell. The formation energy from raw total energies comes out at 0.365 eV per atom. Its final energy is -6.106 eV per atom.